Material: Ta4VRu
Method: DFT, GGA-PBE
State: optimized geometry

```
Ta4VRu
1.0
4.340 0.000 0.000
0.000 4.340 0.000
0.000 0.000 6.146
Ta V Ru
4 1 1
Direct
0.000 0.500 0.244
0.000 0.500 0.756
0.500 0.000 0.244
0.500 0.000 0.756
0.000 0.000 0.000
0.500 0.500 0.500
```

Summary:
ΔE_f = 0.419 eV/atom
Spin magnetization = 0.0 μB per formula unit
Total energy = -10.549 eV/atom